# Na3VCr3O8

Crystalline Na3VCr3O8 at its relaxed geometry (GGA+U, Alexandria via LeMat-Bulk).

Cell lengths 10.468, 5.990, 6.500 Å; angles 90.00, 122.52, 90.00 degrees
Space group C2/m (No. 12)
Unique sites:
Na 0.000 0.000 0.000 (multiplicity 2)
Na 0.250 0.250 0.000 (multiplicity 4)
V 0.000 0.000 0.500 (multiplicity 2)
Cr 0.000 0.500 0.500 (multiplicity 2)
Cr 0.250 0.250 0.500 (multiplicity 4)
O 0.017 0.240 0.310 (multiplicity 8)
O 0.226 0.000 0.690 (multiplicity 4)
O 0.231 0.500 0.694 (multiplicity 4)

energy = -205.45 eV/cell
magnetic moment = 20.00 Bohr magnetons per cell